[1]
Density functional theory data (PBEsol) for a relaxed structure of Ba4NiSe.

a b c (Å): 9.5863 9.5863 9.5863
angles (deg): 90.00 90.00 90.00
Closest atoms and distances in Å follow each position.
Space group F-43m (No. 216)
One atom of each set of equivalent atoms:
Ba (0.1246, 0.1246, 0.1246) x16  6 Ba 3.38-3.40
Ni (0.0000, 0.0000, 0.5000) x4  12 Ba 3.98, 4 Se 4.15
Se (0.2500, 0.2500, 0.7500) x4  12 Ba 3.97, 4 Ni 4.15

Summary:
Total magnetization (μB/atom): 0.00
VASP energy (eV/atom): -2.609

***

[2]
Density functional theory data (PBEsol) for a relaxed structure of BaNi3Se.

a b c (Å): 4.7811 4.7811 4.7811
angles (deg): 90.00 90.00 90.00
Closest atoms and distances in Å follow each position.
Space group Pm-3m (No. 221)
One atom of each set of equivalent atoms:
Ba (0.0000, 0.0000, 0.0000) x1  6 Ni 2.39
Ni (0.0000, 0.0000, 0.5000) x3  2 Ba 2.39
Se (0.5000, 0.5000, 0.5000) x1  12 Ni 3.38

Summary:
Total magnetization (μB/atom): 0.00
VASP energy (eV/atom): -3.110

***

[3]
Density functional theory data (PBEsol) for a relaxed structure of Ba3NiSe.

a b c (Å): 6.0984 6.0984 6.0984
angles (deg): 90.00 90.00 90.00
Closest atoms and distances in Å follow each position.
Space group Pm-3m (No. 221)
One atom of each set of equivalent atoms:
Ba (0.0000, 0.0000, 0.5000) x3  2 Se 3.05
Ni (0.5000, 0.5000, 0.5000) x1  12 Ba 4.31
Se (0.0000, 0.0000, 0.0000) x1  6 Ba 3.05

Summary:
Total magnetization (μB/atom): 0.00
VASP energy (eV/atom): -3.429

***

[4]
Density functional theory data (PBEsol) for a relaxed structure of Ba2NiSe.

a b c (Å): 4.4679 4.4679 11.3702
angles (deg): 90.00 90.00 90.00
Closest atoms and distances in Å follow each position.
Space group I-4m2 (No. 119)
One atom of each set of equivalent atoms:
Ba (0.0000, 0.0000, 0.0000) x2  4 Ni 3.16
Ba (0.0000, 0.5000, 0.2500) x2  4 Se 3.16
Ni (0.0000, 0.0000, 0.5000) x2  4 Ba 3.16
Se (0.0000, 0.5000, 0.7500) x2  4 Ba 3.16

Summary:
Total magnetization (μB/atom): 0.01
VASP energy (eV/atom): -4.118

***

[5]
Density functional theory data (PBEsol) for a relaxed structure of BaSi3Ni.

a b c (Å): 4.6192 4.6192 4.6192
angles (deg): 90.00 90.00 90.00
Closest atoms and distances in Å follow each position.
Space group Pm-3m (No. 221)
One atom of each set of equivalent atoms:
Ba (0.0000, 0.0000, 0.0000) x1  12 Si 3.27
Si (0.0000, 0.5000, 0.5000) x3  2 Ni 2.31
Ni (0.5000, 0.5000, 0.5000) x1  6 Si 2.31

Summary:
Total magnetization (μB/atom): 0.00
VASP energy (eV/atom): -5.058

***

[6]
Density functional theory data (PBEsol) for a relaxed structure of Ba2SiNi.

a b c (Å): 3.8987 5.5601 9.9496
angles (deg): 90.00 90.00 90.00
Closest atoms and distances in Å follow each position.
Space group Imm2 (No. 44)
One atom of each set of equivalent atoms:
Ba (0.0000, 0.0000, 0.0000) x2  4 Ba 3.32-3.71, 4 Si 3.47-3.49, 4 Ni 3.56
Ba (0.0000, 0.5000, 0.1822) x2  4 Ba 3.32-3.71, 4 Ni 3.47-3.49, 4 Si 3.56
Si (0.0000, 0.5000, 0.7905) x2  2 Ni 2.19
Ni (0.0000, 0.0000, 0.3915) x2  2 Si 2.19

Summary:
Total magnetization (μB/atom): 0.00
VASP energy (eV/atom): -4.263

***

[7]
Density functional theory data (PBEsol) for a relaxed structure of BaSiNi.

a b c (Å): 3.9794 3.9794 5.0131
angles (deg): 90.00 90.00 120.00
Closest atoms and distances in Å follow each position.
Space group P-6m2 (No. 187)
One atom of each set of equivalent atoms:
Ba (0.0000, 0.0000, 0.0000) x1  6 Ni 3.40, 6 Si 3.40
Si (0.6667, 0.3333, 0.5000) x1  3 Ni 2.30
Ni (0.3333, 0.6667, 0.5000) x1  3 Si 2.30

Summary:
Total magnetization (μB/atom): 0.00
VASP energy (eV/atom): -5.003

***

[8]
Density functional theory data (PBEsol) for a relaxed structure of Ba2SiNi.

a b c (Å): 7.3524 7.3524 7.3524
angles (deg): 90.00 90.00 90.00
Closest atoms and distances in Å follow each position.
Space group F-43m (No. 216)
One atom of each set of equivalent atoms:
Ba (0.0000, 0.0000, 0.0000) x4  4 Ba 3.18, 4 Si 3.18
Ba (0.2500, 0.2500, 0.2500) x4  4 Ba 3.18, 4 Ni 3.18
Si (0.2500, 0.2500, 0.7500) x4  4 Ba 3.18, 4 Ni 3.18
Ni (0.0000, 0.0000, 0.5000) x4  4 Ba 3.18, 4 Si 3.18

Summary:
Total magnetization (μB/atom): 0.00
VASP energy (eV/atom): -3.867

***

[9]
Density functional theory data (PBEsol) for a relaxed structure of Ba8Si43Ni3.

a b c (Å): 14.5115 14.5115 17.7412
angles (deg): 90.00 90.00 120.00
Closest atoms and distances in Å follow each position.
Space group R32 (No. 155, hexagonal axes)
One atom of each set of equivalent atoms:
Ba (0.0000, 0.0000, 0.2467) x6  20 Si 3.20-3.57
Ba (0.0000, 0.2372, 0.0000) x9  14 Si 3.33-3.73, 2 Ni 3.53
Ba (0.0000, 0.7367, 0.5000) x9  10 Si 3.32-3.63, 2 Ni 3.54
Si (0.0000, 0.0000, 0.0661) x6  4 Si 2.34-2.40
Si (0.0000, 0.0000, 0.4346) x6  4 Si 2.32-2.39
Si (0.0000, 0.2493, 0.5000) x9  4 Si 2.41-2.43
Si (0.0180, 0.8496, 0.1006) x18  1 Ni 2.22, 2 Si 2.40-2.41
Si (0.0280, 0.1676, 0.6096) x18  4 Si 2.39-2.47
Si (0.0638, 0.8071, 0.6856) x18  1 Ni 2.22, 3 Si 2.40-2.47
Si (0.0646, 0.2431, 0.1867) x18  4 Si 2.39-2.53
Si (0.0869, 0.5431, 0.4765) x18  4 Si 2.34-2.41
Si (0.0882, 0.5448, 0.9796) x18  4 Si 2.33-2.41
Ni (0.0000, 0.7506, 0.0000) x9  4 Si 2.22

Summary:
Total magnetization (μB/atom): 0.00
VASP energy (eV/atom): -5.512

***

[10]
Density functional theory data (PBEsol) for a relaxed structure of Ba3SiNi.

a b c (Å): 5.6093 5.6093 5.6093
angles (deg): 90.00 90.00 90.00
Closest atoms and distances in Å follow each position.
Space group Pm-3m (No. 221)
One atom of each set of equivalent atoms:
Ba (0.0000, 0.0000, 0.5000) x3  2 Ni 2.80
Si (0.5000, 0.5000, 0.5000) x1  12 Ba 3.97
Ni (0.0000, 0.0000, 0.0000) x1  6 Ba 2.80

Summary:
Total magnetization (μB/atom): 0.00
VASP energy (eV/atom): -3.518

***

[11]
Density functional theory data (PBEsol) for a relaxed structure of BaNi3Sn.

a b c (Å): 4.7761 4.7761 4.7761
angles (deg): 90.00 90.00 90.00
Closest atoms and distances in Å follow each position.
Space group Pm-3m (No. 221)
One atom of each set of equivalent atoms:
Ba (0.0000, 0.0000, 0.0000) x1  12 Ni 3.38
Ni (0.0000, 0.5000, 0.5000) x3  2 Sn 2.39
Sn (0.5000, 0.5000, 0.5000) x1  6 Ni 2.39

Summary:
Polymorph energy (0 for the lowest one) (meV per atom): 0
Total magnetization (μB/atom): 0.11
VASP energy (eV/atom): -4.592
ΔE_f (eV per formula unit): 1.92

***

[12]
Density functional theory data (PBEsol) for a relaxed structure of BaNi3Sn.

a b c (Å): 4.8324 4.8324 4.8324
angles (deg): 90.00 90.00 90.00
Closest atoms and distances in Å follow each position.
Space group Pm-3m (No. 221)
One atom of each set of equivalent atoms:
Ba (0.0000, 0.0000, 0.0000) x1  6 Ni 2.42
Ni (0.0000, 0.0000, 0.5000) x3  2 Ba 2.42
Sn (0.5000, 0.5000, 0.5000) x1  12 Ni 3.42

Summary:
Polymorph energy (0 for the lowest one) (meV per atom): 1218
Total magnetization (μB/atom): 0.00
VASP energy (eV/atom): -3.374
ΔE_f (eV per formula unit): 8.01

***

[13]
Density functional theory data (PBEsol) for a relaxed structure of BaNiSn3.

a b c (Å): 4.7908 4.7908 10.8494
angles (deg): 90.00 90.00 90.00
Closest atoms and distances in Å follow each position.
Space group I4mm (No. 107)
One atom of each set of equivalent atoms:
Ba (0.0000, 0.0000, 0.0000) x2  12 Sn 3.48-3.63, 5 Ni 3.70-3.80
Ni (0.0000, 0.0000, 0.3409) x2  5 Sn 2.52-2.58
Sn (0.0000, 0.0000, 0.5732) x2  1 Ni 2.52
Sn (0.0000, 0.5000, 0.2517) x4  2 Ni 2.58

Summary:
Total magnetization (μB/atom): 0.00
VASP energy (eV/atom): -4.734
ΔE_f (eV per formula unit): -2.59